Arrangement P

TiBiH2 | PBE | relaxed

```
TiBiH2
1.0
5.9303 0.0000 0.0000
0.0000 5.9303 0.0000
0.0000 0.0000 5.9303
Ti Bi H
4 4 8
direct
0.0000 0.0000 0.0000
0.0000 0.5000 0.5000
0.5000 0.0000 0.5000
0.5000 0.5000 0.0000
0.0000 0.0000 0.5000
0.0000 0.5000 0.0000
0.5000 0.0000 0.0000
0.5000 0.5000 0.5000
0.2500 0.2500 0.2500
0.2500 0.2500 0.7500
0.2500 0.7500 0.2500
0.2500 0.7500 0.7500
0.7500 0.2500 0.2500
0.7500 0.2500 0.7500
0.7500 0.7500 0.2500
0.7500 0.7500 0.7500
```

=====

Arrangement Q

TiBiH2 | PBE | relaxed

```
TiBiH2
1.0
4.3974 0.0000 0.0000
0.0000 4.3974 0.0000
0.0000 0.0000 11.1307
Ti Bi H
4 4 8
direct
0.0000 0.2500 0.3750
0.0000 0.7500 0.6250
0.5000 0.2500 0.1250
0.5000 0.7500 0.8750
0.0000 0.2500 0.8750
0.0000 0.7500 0.1250
0.5000 0.2500 0.6250
0.5000 0.7500 0.3750
0.0000 0.0000 0.5000
0.0000 0.5000 0.5000
0.2500 0.2500 0.2500
0.2500 0.7500 0.7500
0.5000 0.0000 0.0000
0.5000 0.5000 0.0000
0.7500 0.2500 0.2500
0.7500 0.7500 0.7500
```

=====

Which of them is most stable? Easy: arrangement Q.